This record from Alexandria describes a relaxed SrRu3Br crystal. The functional is PBE.

Summary:
- magnetic moment (μB/f.u.) = 0.00
- ΔE_f (raw) (eV/atom) = 1.022

a = 4.6758 Å, b = 4.6758 Å, c = 4.6758 Å
α = 90.00°, β = 90.00°, γ = 90.00°
Space group Pm-3m (No. 221)
Asymmetric unit:
Sr: 0.0000 0.0000 0.0000 x1
Ru: 0.0000 0.5000 0.5000 x3
Br: 0.5000 0.5000 0.5000 x1